Entry 1:
Compound: Tl2InPd
Source: Alexandria
Functional: PBE
Structure: optimized geometry

It has space group Fm-3m (No. 225), with a = 7.287 Å, b = 7.287 Å, c = 7.287 Å, α = 90.00°, β = 90.00° and γ = 90.00°. The distinct sites, in fractional coordinates, are Tl at (0.250, 0.250, 0.250), In at (0.000, 0.000, 0.000) and Pd at (0.000, 0.000, 0.500).

The value obtained for the size of the total moment is 0.00 Bohr magnetons per cell. As for the relative energy among the computed polymorphs: 81 meV per atom.

Entry 2:
Compound: Tl2InPd
Source: Alexandria
Functional: PBE
Structure: optimized geometry

It has space group I-42d (No. 122), with a = 9.204 Å, b = 9.204 Å, c = 5.344 Å, α = 90.00°, β = 90.00° and γ = 90.00°. The distinct sites, in fractional coordinates, are Tl at (0.158, 0.250, 0.125), In at (0.000, 0.000, 0.500) and Pd at (0.000, 0.000, 0.000).

The value obtained for the size of the total moment is 0.00 Bohr magnetons per cell. As for the relative energy among the computed polymorphs: 0 meV per atom.

Entry 3:
Compound: TlInPd5
Source: Alexandria
Functional: PBE
Structure: optimized geometry

It has space group Cmcm (No. 63), with a = 7.648 Å, b = 5.774 Å, c = 11.699 Å, α = 90.00°, β = 90.00° and γ = 90.00°. The distinct sites, in fractional coordinates, are Tl at (0.000, 0.000, 0.000), In at (0.000, 0.495, 0.250), Pd at (0.000, 0.003, 0.750) and Pd at (0.248, 0.254, 0.625).

The value obtained for the size of the total moment is 0.00 Bohr magnetons per cell. As for the relative energy among the computed polymorphs: 3 meV per atom.

Entry 4:
Compound: TlIn2Pd6
Source: Alexandria
Functional: PBE
Structure: optimized geometry

It has space group C2/m (No. 12), with a = 14.463 Å, b = 7.628 Å, c = 3.041 Å, α = 90.00°, β = 102.06° and γ = 90.00°. The distinct sites, in fractional coordinates, are Tl at (0.000, 0.000, 0.000), In at (0.168, 0.500, 0.671), Pd at (0.000, 0.313, 0.500) and Pd at (0.167, 0.197, 0.169).

The value obtained for the size of the total moment is 0.00 Bohr magnetons per cell. Its calculated total energy is -82.68 eV per cell.

Entry 5:
Compound: Tl2InPd
Source: Alexandria
Functional: PBE
Structure: optimized geometry

It has space group R-3m (No. 166, hexagonal axes), with a = 3.2793 Å, b = 3.2793 Å, c = 33.3362 Å, α = 90.00°, β = 90.00° and γ = 120.00°. The distinct sites, in fractional coordinates, are Tl at (0.0000, 0.0000, 0.0806), In at (0.0000, 0.0000, 0.5000) and Pd at (0.0000, 0.0000, 0.0000).

The value obtained for the size of the total moment is 0.00 Bohr magnetons per cell. As for the relative energy among the computed polymorphs: 224 meV per atom.

Entry 6:
Compound: Tl2InPd6
Source: Alexandria
Functional: PBE
Structure: optimized geometry

It has space group C2/m (No. 12), with a = 14.496 Å, b = 7.693 Å, c = 3.061 Å, α = 90.00°, β = 102.11° and γ = 90.00°. The distinct sites, in fractional coordinates, are Tl at (0.165, 0.000, 0.163), In at (0.000, 0.500, 0.500), Pd at (0.000, 0.202, 0.000) and Pd at (0.166, 0.311, 0.664).

The value obtained for the size of the total moment is 0.00 Bohr magnetons per cell. Its calculated total energy is -80.28 eV per cell.

Entry 7:
Compound: TlIn2Pd5
Source: Alexandria
Functional: PBE
Structure: optimized geometry

It has space group I4/mmm (No. 139), with a = 4.415 Å, b = 4.415 Å, c = 14.389 Å, α = 90.00°, β = 90.00° and γ = 90.00°. The distinct sites, in fractional coordinates, are Tl at (0.000, 0.000, 0.000), In at (0.000, 0.000, 0.255), Pd at (0.000, 0.000, 0.500) and Pd at (0.000, 0.500, 0.129).

The value obtained for the size of the total moment is 0.00 Bohr magnetons per cell. Its calculated total energy is -73.26 eV per cell.

Entry 8:
Compound: TlIn2Pd
Source: Alexandria
Functional: PBE
Structure: optimized geometry

It has space group I-42d (No. 122), with a = 8.752 Å, b = 8.752 Å, c = 5.509 Å, α = 90.00°, β = 90.00° and γ = 90.00°. The distinct sites, in fractional coordinates, are Tl at (0.000, 0.000, 0.000), In at (0.173, 0.250, 0.625) and Pd at (0.000, 0.000, 0.500).

The value obtained for the size of the total moment is 0.00 Bohr magnetons per cell. As for the relative energy among the computed polymorphs: 121 meV per atom.

Entry 9:
Compound: Tl2InPd7
Source: Alexandria
Functional: PBE
Structure: optimized geometry

It has space group Cmmm (No. 65), with a = 8.306 Å, b = 16.486 Å, c = 2.949 Å, α = 90.00°, β = 90.00° and γ = 90.00°. The distinct sites, in fractional coordinates, are Tl at (0.000, 0.179, 0.000), In at (0.000, 0.500, 0.500), Pd at (0.000, 0.000, 0.000), Pd at (0.000, 0.321, 0.500) and Pd at (0.221, 0.413, 0.000).

The value obtained for the size of the total moment is 0.00 Bohr magnetons per cell. Its calculated total energy is -86.99 eV per cell.

Entry 10:
Compound: Tl2In2Pd
Source: Alexandria
Functional: PBE
Structure: optimized geometry

It has space group P4/mbm (No. 127), with a = 7.082 Å, b = 7.082 Å, c = 5.376 Å, α = 90.00°, β = 90.00° and γ = 90.00°. The distinct sites, in fractional coordinates, are Tl at (0.176, 0.324, 0.000), In at (0.152, 0.652, 0.500) and Pd at (0.000, 0.000, 0.500).

The value obtained for the size of the total moment is 0.00 Bohr magnetons per cell. As for the relative energy among the computed polymorphs: 0 meV per atom.

Entry 11:
Compound: TlInPd14
Source: Alexandria
Functional: PBE
Structure: optimized geometry

It has space group Amm2 (No. 38), with a = 9.179 Å, b = 5.910 Å, c = 9.515 Å, α = 90.00°, β = 90.00° and γ = 90.00°. The distinct sites, in fractional coordinates, are Tl at (0.000, 0.000, 0.000), In at (0.000, 0.000, 0.498), Pd at (0.000, 0.248, 0.749), Pd at (0.252, 0.000, 0.317), Pd at (0.252, 0.247, 0.568), Pd at (0.255, 0.000, 0.818), Pd at (0.500, 0.000, 0.139), Pd at (0.500, 0.000, 0.640) and Pd at (0.500, 0.249, 0.389).

The value obtained for the size of the total moment is 0.00 Bohr magnetons per cell. Its calculated total energy is -158.81 eV per cell.

Entry 12:
Compound: TlIn2Pd
Source: Alexandria
Functional: PBE
Structure: optimized geometry

It has space group R-3m (No. 166, hexagonal axes), with a = 3.3452 Å, b = 3.3452 Å, c = 30.2098 Å, α = 90.00°, β = 90.00° and γ = 120.00°. The distinct sites, in fractional coordinates, are Tl at (0.0000, 0.0000, 0.0000), In at (0.0000, 0.0000, 0.1001) and Pd at (0.0000, 0.0000, 0.5000).

The value obtained for the size of the total moment is 0.00 Bohr magnetons per cell. As for the relative energy among the computed polymorphs: 70 meV per atom.